(1)
Here is a relaxed AsRh2Cl crystal from Alexandria via LeMat-Bulk. Energies are from PBE.

Results
raw total energy	-5.29	eV per atom
uncorrected formation energy	0.012	eV per atom
theoretical density	7.8	Mg/m³
energy above the lowest structure with this stoichiometry	0.860	eV per formula unit

Unit cell a=3.419 b=3.429 c=5.752 alpha=90.00 beta=90.00 gamma=90.00
Atoms (fractional coordinates):
1 As 0.000 0.000 0.411
2 Rh 0.000 0.000 0.981
3 Rh 0.500 0.500 0.260
4 Cl 0.500 0.500 0.848

=====

(2)
Here is a relaxed YMnAl2 crystal from Alexandria via LeMat-Bulk. Energies are from PBE.

Results
raw total energy	-5.89	eV per atom
theoretical density	4.4	Mg/m³
formation enthalpy at 0 K	-2.64	kcal/mol of atoms

Unit cell a=4.728 b=4.728 c=4.728 alpha=60.00 beta=60.00 gamma=60.00
Site moments in Bohr magnetons follow the coordinates.
Atoms (fractional coordinates):
1 Y 0.500 0.500 0.500  -0.08
2 Mn 0.000 0.000 0.000  3.45
3 Al 0.250 0.250 0.250  -0.02
4 Al 0.750 0.750 0.750  -0.02

=====

(3)
Here is a relaxed Sm2Dy5Y2 crystal from Alexandria via LeMat-Bulk. Energies are from PBE.

Results
raw total energy	-4.83	eV per atom
theoretical density	7.2	Mg/m³
energy above the lowest structure with this stoichiometry	1.736	eV per formula unit
formation enthalpy at 0 K	4.87	kcal/mol of atoms

Unit cell a=11.813 b=6.720 c=10.086 alpha=109.46 beta=125.85 gamma=90.00
Atoms (fractional coordinates):
1 Sm 0.000 0.016 0.000
2 Sm 0.500 0.516 0.000
3 Sm 0.259 0.354 0.500
4 Sm 0.741 0.854 0.500
5 Dy 0.202 0.655 0.896
6 Dy 0.798 0.759 0.104
7 Dy 0.194 0.155 0.896
8 Dy 0.806 0.259 0.104
9 Dy 0.377 0.037 0.286
10 Dy 0.623 0.752 0.714
11 Dy 0.408 0.537 0.286
12 Dy 0.592 0.252 0.714
13 Dy 0.003 0.650 0.500
14 Dy 0.997 0.150 0.500
15 Y 0.124 0.683 0.253
16 Y 0.876 0.430 0.747
17 Y 0.629 0.183 0.253
18 Y 0.371 0.930 0.747